Y3Ag | PBEsol | optimized geometry

V (Å³ per atom): 26.86
Density (kg/m3): 5790
Distance to the lowest polymorph of the same formula (meV per atom): 14.5
Energy (eV per atom): -6.071
Calculated formation energy (eV per atom): -0.126
Crystal system: orthorhombic
Symmetry: No. 71

```
Y3Ag
1.0
-0.573 -2.072 2.989
5.169 0.083 1.048
-2.987 5.567 1.019
Y Ag
3 1
direct
0.500 0.000 0.000 Y
0.715 0.715 0.431 Y
0.285 0.285 0.569 Y
0.000 0.500 0.000 Ag
```